No. 1
PBE-GGA LaPtO2F, optimized geometry; uncorrected energy = -28.2 eV/f.u.; uncorrected formation energy = -1.08 eV/atom
1.0
4.646 0.000 0.000
0.000 4.646 0.000
0.000 0.000 4.519
La Pt O F
1 1 2 1
direct
0.000 0.000 0.000
0.500 0.500 0.500
0.000 0.500 0.000
0.500 0.000 0.000
0.000 0.000 0.500



No. 2
PBE-GGA CrCuTc, optimized geometry; uncorrected energy = -23.5 eV/f.u.; distance to the lowest polymorph of the same formula = 40 meV/atom; ΔH_f (0 K) = 0.21 eV per atom
1.0
-1.250 1.978 3.896
1.250 -1.978 3.896
1.250 1.978 -3.896
Cr Cu Tc
1 1 1
direct
0.000 0.000 0.000
0.662 0.662 0.000
0.327 0.327 0.000



No. 3
PBE-GGA Zn2CdCu, optimized geometry; uncorrected energy = -7.3 eV/f.u.; ΔH_f (0 K) = 0.07 eV per atom
1.0
-2.003 2.003 3.919
2.003 -2.003 3.919
2.003 2.003 -3.919
Zn Cd Cu
2 1 1
direct
0.250 0.750 0.500
0.750 0.250 0.500
0.000 0.000 0.000
0.500 0.500 0.000



No. 4
PBE-GGA Sm2Mg3Ru2, optimized geometry; uncorrected energy = -34.0 eV/f.u.; ΔH_f (0 K) = -0.18 eV per atom
1.0
5.182 -2.223 0.000
5.182 2.223 0.000
-1.144 0.000 6.867
Sm Mg Ru
2 3 2
direct
0.130 0.130 0.365
0.870 0.870 0.635
0.181 0.181 0.861
0.500 0.500 0.000
0.819 0.819 0.139
0.418 0.418 0.352
0.582 0.582 0.648



No. 5
PBE-GGA La6CoHg3, optimized geometry; uncorrected energy = -40.6 eV/f.u.; ΔH_f (0 K) = -0.30 eV per atom
1.0
5.784 0.000 0.000
0.000 9.278 0.000
-5.746 0.000 11.280
La Co Hg
12 2 6
direct
0.024 0.185 0.056
0.024 0.315 0.556
0.277 0.514 0.223
0.277 0.986 0.723
0.385 0.149 0.444
0.385 0.351 0.944
0.615 0.649 0.056
0.615 0.851 0.556
0.723 0.014 0.277
0.723 0.486 0.777
0.976 0.685 0.444
0.976 0.815 0.944
0.000 0.000 0.500
0.000 0.500 0.000
0.187 0.642 0.742
0.187 0.858 0.242
0.500 0.000 0.000
0.500 0.500 0.500
0.813 0.142 0.758
0.813 0.358 0.258



No. 6
PBE-GGA CaP2H4O8, optimized geometry; uncorrected energy = -94.7 eV/f.u.; distance to the lowest polymorph of the same formula = 36 meV/atom
1.0
6.862 0.000 0.000
-2.508 7.240 0.000
-1.074 -3.192 7.940
Ca P H O
2 4 8 16
direct
0.094 0.212 0.233
0.906 0.788 0.767
0.162 0.252 0.834
0.361 0.744 0.602
0.639 0.256 0.398
0.838 0.748 0.166
0.154 0.513 0.760
0.163 0.623 0.346
0.218 0.021 0.628
0.500 0.000 0.500
0.500 0.500 0.000
0.782 0.979 0.372
0.837 0.377 0.654
0.846 0.487 0.240
0.054 0.184 0.960
0.060 0.390 0.780
0.093 0.053 0.673
0.203 0.702 0.711
0.254 0.578 0.411
0.375 0.942 0.577
0.404 0.351 0.879
0.425 0.257 0.339
0.575 0.743 0.661
0.596 0.649 0.121
0.625 0.058 0.423
0.746 0.422 0.589
0.797 0.298 0.289
0.907 0.947 0.327
0.940 0.610 0.220
0.946 0.816 0.040



No. 7
PBE-GGA YZrZn2, optimized geometry; uncorrected energy = -17.8 eV/f.u.; ΔH_f (0 K) = -0.06 eV per atom
1.0
4.787 0.000 0.000
0.000 3.445 0.000
-2.254 0.000 5.444
Y Zr Zn
1 1 2
direct
0.000 0.000 0.000
0.500 0.500 0.500
0.000 0.000 0.500
0.500 0.500 0.000



No. 8
PBE-GGA NaGe2PPt, optimized geometry; uncorrected energy = -20.6 eV/f.u.; ΔH_f (0 K) = 0.28 eV per atom
1.0
4.754 0.000 0.000
0.000 4.754 0.000
0.000 0.000 5.171
Na Ge P Pt
1 2 1 1
direct
0.000 0.000 0.000
0.000 0.500 0.500
0.500 0.000 0.500
0.500 0.500 0.000
0.000 0.000 0.500



No. 9
PBE-GGA Tc3H12Ru5, optimized geometry; uncorrected energy = -111.0 eV/f.u.
1.0
-5.361 5.361 5.361
5.361 -5.361 5.361
5.361 5.361 -5.361
Tc H Ru
12 48 20
direct
0.125 0.250 0.375
0.125 0.375 0.750
0.250 0.375 0.125
0.250 0.875 0.625
0.375 0.125 0.250
0.375 0.750 0.125
0.625 0.250 0.875
0.625 0.875 0.750
0.750 0.125 0.375
0.750 0.625 0.875
0.875 0.625 0.250
0.875 0.750 0.625
0.058 0.225 0.137
0.058 0.333 0.921
0.079 0.637 0.412
0.079 0.942 0.667
0.088 0.725 0.667
0.088 0.863 0.421
0.137 0.058 0.225
0.137 0.579 0.912
0.167 0.225 0.588
0.167 0.442 0.579
0.225 0.137 0.058
0.225 0.588 0.167
0.275 0.333 0.912
0.275 0.442 0.363
0.333 0.912 0.275
0.333 0.921 0.058
0.363 0.275 0.442
0.363 0.588 0.921
0.412 0.079 0.637
0.412 0.833 0.775
0.421 0.088 0.863
0.421 0.833 0.558
0.442 0.363 0.275
0.442 0.579 0.167
0.558 0.421 0.833
0.558 0.637 0.725
0.579 0.167 0.442
0.579 0.912 0.137
0.588 0.167 0.225
0.588 0.921 0.363
0.637 0.412 0.079
0.637 0.725 0.558
0.667 0.079 0.942
0.667 0.088 0.725
0.725 0.558 0.637
0.725 0.667 0.088
0.775 0.412 0.833
0.775 0.863 0.942
0.833 0.558 0.421
0.833 0.775 0.412
0.863 0.421 0.088
0.863 0.942 0.775
0.912 0.137 0.579
0.912 0.275 0.333
0.921 0.058 0.333
0.921 0.363 0.588
0.942 0.667 0.079
0.942 0.775 0.863
0.000 0.000 0.000
0.000 0.000 0.500
0.000 0.500 0.000
0.000 0.500 0.500
0.125 0.750 0.875
0.125 0.875 0.250
0.250 0.125 0.875
0.250 0.625 0.375
0.375 0.250 0.625
0.375 0.625 0.750
0.500 0.000 0.000
0.500 0.000 0.500
0.500 0.500 0.000
0.500 0.500 0.500
0.625 0.375 0.250
0.625 0.750 0.375
0.750 0.375 0.625
0.750 0.875 0.125
0.875 0.125 0.750
0.875 0.250 0.125



No. 10
PBE-GGA ScTcMo2, optimized geometry; uncorrected energy = -38.1 eV/f.u.; distance to the lowest polymorph of the same formula = 166 meV/atom; ΔH_f (0 K) = 0.06 eV per atom
1.0
1.599 -2.300 0.000
1.599 2.300 0.000
0.000 0.000 9.006
Sc Tc Mo
1 1 2
direct
0.000 0.000 0.000
0.500 0.500 0.253
0.000 0.000 0.488
0.500 0.500 0.729



No. 11
PBE-GGA LaLuRuRh, optimized geometry; uncorrected energy = -28.1 eV/f.u.; ΔH_f (0 K) = -0.52 eV per atom
1.0
0.000 3.461 3.461
3.461 0.000 3.461
3.461 3.461 0.000
La Lu Ru Rh
1 1 1 1
direct
0.000 0.000 0.000
0.500 0.500 0.500
0.750 0.750 0.750
0.250 0.250 0.250



No. 12
PBE-GGA Ac2AsH, optimized geometry; uncorrected energy = -18.3 eV/f.u.; distance to the lowest polymorph of the same formula = 278 meV/atom
1.0
5.165 0.000 0.000
0.000 5.165 0.000
0.000 0.000 3.952
Ac As H
2 1 1
direct
0.000 0.500 0.000
0.500 0.000 0.000
0.000 0.000 0.500
0.500 0.500 0.500